LaIn2WO8, relaxed, DFT PBE with a Hubbard U; V = 169 Å³ per cell; total DFT energy (no corrections) = -6.749 eV per atom; SG = Cmmm (65)
1.0
4.9315 -0.0240 -0.0030
0.0089 4.9300 -0.0052
0.0043 0.0072 6.9384
La In W O
1 2 1 8
Cartesian
0.0022 0.0036 3.4692 La
2.4736 2.4585 5.2995 In
2.4712 2.4547 1.6308 In
0.0000 0.0000 0.0000 W
0.9378 3.9931 1.4168 O
3.5279 3.5075 -0.0058 O
4.0045 0.9160 1.4183 O
4.0070 0.9201 5.5134 O
1.4169 1.4057 6.9361 O
0.9403 3.9972 5.5119 O
3.3321 3.3142 3.4637 O
1.6127 1.5990 3.4665 O